# 1
# InNi2Ir | Alexandria | PBE-GGA | optimized geometry
data_InNi2Ir
_space_group_name_H-M_alt 'P 4 m m'
_space_group_IT_number 99
_cell_length_a 3.0958
_cell_length_b 3.0958
_cell_length_c 5.9090
_cell_angle_alpha 90.00
_cell_angle_beta 90.00
_cell_angle_gamma 90.00
loop_
_space_group_symop_operation_xyz
'x,y,z'
'-y,x,z'
'-x,-y,z'
'y,-x,z'
'-x,y,z'
'y,x,z'
'x,-y,z'
'-y,-x,z'
loop_
_atom_site_label
_atom_site_type_symbol
_atom_site_fract_x
_atom_site_fract_y
_atom_site_fract_z
In1 In 0.0000 0.0000 0.0000
Ni1 Ni 0.0000 0.0000 0.5295
Ni2 Ni 0.5000 0.5000 0.7381
Ir1 Ir 0.5000 0.5000 0.3025
# Crystal system   tetragonal

---

# 2
# InNiIr2 | Alexandria | PBE-GGA | optimized geometry
data_InNiIr2
_space_group_name_H-M_alt 'F -4 3 m'
_space_group_IT_number 216
_space_group_name_Hall 'F -4 2 3'
_cell_length_a 6.2513
_cell_length_b 6.2513
_cell_length_c 6.2513
_cell_angle_alpha 90.00
_cell_angle_beta 90.00
_cell_angle_gamma 90.00
loop_
_atom_site_label
_atom_site_type_symbol
_atom_site_fract_x
_atom_site_fract_y
_atom_site_fract_z
In1 In 0.0000 0.0000 0.0000
Ni1 Ni 0.2500 0.2500 0.7500
Ir1 Ir 0.0000 0.0000 0.5000
Ir2 Ir 0.2500 0.2500 0.2500
# Crystal system   cubic

---

# 3
# In2NiIr | Alexandria | PBE-GGA | optimized geometry
data_In2NiIr
_space_group_name_H-M_alt 'P m m m'
_space_group_IT_number 47
_cell_length_a 3.0984
_cell_length_b 3.5555
_cell_length_c 6.0275
_cell_angle_alpha 90.00
_cell_angle_beta 90.00
_cell_angle_gamma 90.00
loop_
_space_group_symop_operation_xyz
'x,y,z'
'-x,-y,-z'
'-x,-y,z'
'x,y,-z'
'x,-y,-z'
'-x,y,z'
'-x,y,-z'
'x,-y,z'
loop_
_atom_site_label
_atom_site_type_symbol
_atom_site_fract_x
_atom_site_fract_y
_atom_site_fract_z
In1 In 0.0000 0.0000 0.2438
Ni1 Ni 0.5000 0.5000 0.0000
Ir1 Ir 0.5000 0.5000 0.5000
# Crystal system   orthorhombic

---

# 4
# InNi2Ir | Alexandria | PBE-GGA | optimized geometry
data_InNi2Ir
_space_group_name_H-M_alt 'I m m 2'
_space_group_IT_number 44
_cell_length_a 2.9994
_cell_length_b 4.3271
_cell_length_c 8.6355
_cell_angle_alpha 90.00
_cell_angle_beta 90.00
_cell_angle_gamma 90.00
loop_
_space_group_symop_operation_xyz
'x,y,z'
'-x,-y,z'
'-x,y,z'
'x,-y,z'
'x+1/2,y+1/2,z+1/2'
'-x+1/2,-y+1/2,z+1/2'
'-x+1/2,y+1/2,z+1/2'
'x+1/2,-y+1/2,z+1/2'
loop_
_atom_site_label
_atom_site_type_symbol
_atom_site_fract_x
_atom_site_fract_y
_atom_site_fract_z
In1 In 0.0000 0.0000 0.0000
Ni1 Ni 0.0000 0.0000 0.5225
Ni2 Ni 0.0000 0.5000 0.2467
Ir1 Ir 0.0000 0.5000 0.7714
# Crystal system   orthorhombic

---

# 5
# InNi2Ir | Alexandria | PBE-GGA | optimized geometry
data_InNi2Ir
_space_group_name_H-M_alt 'I m m m'
_space_group_IT_number 71
_space_group_name_Hall '-I 2 2'
_cell_length_a 3.0653
_cell_length_b 4.4206
_cell_length_c 8.5150
_cell_angle_alpha 90.00
_cell_angle_beta 90.00
_cell_angle_gamma 90.00
loop_
_atom_site_label
_atom_site_type_symbol
_atom_site_fract_x
_atom_site_fract_y
_atom_site_fract_z
In1 In 0.0000 0.0000 0.0000
Ni1 Ni 0.0000 0.5000 0.2449
Ir1 Ir 0.0000 0.0000 0.5000
# Crystal system   orthorhombic

---

# 6
# In2NiIr | Alexandria | PBE-GGA | optimized geometry
data_In2NiIr
_space_group_name_H-M_alt 'C m m m'
_space_group_IT_number 65
_space_group_name_Hall '-C 2 2'
_cell_length_a 6.0488
_cell_length_b 7.1622
_cell_length_c 3.0787
_cell_angle_alpha 90.00
_cell_angle_beta 90.00
_cell_angle_gamma 90.00
loop_
_atom_site_label
_atom_site_type_symbol
_atom_site_fract_x
_atom_site_fract_y
_atom_site_fract_z
In1 In 0.2500 0.2500 0.0000
Ni1 Ni 0.0000 0.0000 0.5000
Ir1 Ir 0.0000 0.5000 0.5000
# Crystal system   orthorhombic

---

# 7
# InNiIr2 | Alexandria | PBE-GGA | optimized geometry
data_InNiIr2
_space_group_name_H-M_alt 'C 1 m 1'
_space_group_IT_number 8
_cell_length_a 8.9904
_cell_length_b 2.8707
_cell_length_c 4.8030
_cell_angle_alpha 90.00
_cell_angle_beta 100.97
_cell_angle_gamma 90.00
loop_
_space_group_symop_operation_xyz
'x,y,z'
'x,-y,z'
'x+1/2,y+1/2,z'
'x+1/2,-y+1/2,z'
loop_
_atom_site_label
_atom_site_type_symbol
_atom_site_fract_x
_atom_site_fract_y
_atom_site_fract_z
In1 In 0.0000 0.0000 0.0000
Ni1 Ni 0.2518 0.5000 0.2423
Ir1 Ir 0.2441 0.0000 0.6969
Ir2 Ir 0.4987 0.0000 0.4919
# Crystal system   monoclinic

---

# 8
# InNi2Ir | Alexandria | PBE-GGA | optimized geometry
data_InNi2Ir
_space_group_name_H-M_alt 'R -3 m'
_space_group_IT_number 166
_space_group_name_Hall '-R 3 2"'
_cell_length_a 2.8180
_cell_length_b 2.8180
_cell_length_c 25.1585
_cell_angle_alpha 90.00
_cell_angle_beta 90.00
_cell_angle_gamma 120.00
loop_
_atom_site_label
_atom_site_type_symbol
_atom_site_fract_x
_atom_site_fract_y
_atom_site_fract_z
In1 In 0.0000 0.0000 0.0000
Ni1 Ni 0.0000 0.0000 0.2468
Ir1 Ir 0.0000 0.0000 0.5000
# Crystal system   trigonal

---

no.,calculated total energy (eV per atom),ΔH_f (0 K) (eV/f.u.)
1,-5.737,0.21
2,-6.339,0.89
3,-5.082,-0.21
4,-5.735,0.22
5,-5.638,0.61
6,-5.076,-0.19
7,-6.484,0.30
8,-5.570,0.88